No. 1
DFT (PBE-GGA) results for TaAs2SeN after structural relaxation.

The structure in extended XYZ format:
```
5
Lattice="-4.924 0.402 0.963 -0.991 -0.346 -4.922 -0.324 -4.962 0.414" Properties=species:S:1:pos:R:3 pbc="T T T"
As -0.495 -0.173 -2.461
As -2.462 0.201 0.481
N -3.119 -2.453 -1.773
Se -0.162 -2.481 0.207
Ta 0.000 0.000 0.000
```

Properties
The value obtained for the magnetization is 2.2 Bohr magnetons per cell. Its crystal system is tetragonal. The uncorrected formation energy comes out at 5.756 eV per formula unit.

=====

No. 2
DFT (PBE-GGA) results for TaAsSe2N after structural relaxation.

The structure in extended XYZ format:
```
5
Lattice="-4.314 2.259 -1.163 -1.971 -4.422 -1.275 -1.628 -0.651 4.773" Properties=species:S:1:pos:R:3 pbc="T T T"
As -0.814 -0.325 2.387
N -3.957 -1.407 1.168
Se -0.986 -2.211 -0.638
Se -2.157 1.129 -0.582
Ta 0.000 0.000 0.000
```

Properties
The value obtained for the magnetization is 2.3 Bohr magnetons per cell. Its crystal system is tetragonal. The uncorrected formation energy comes out at 4.990 eV per formula unit.

=====

No. 3
DFT (PBE-GGA) results for Tb4AsSe2N after structural relaxation.

The structure in extended XYZ format:
```
8
Lattice="3.917 0.000 0.000 0.000 6.845 0.129 0.000 -2.383 6.589" Properties=species:S:1:pos:R:3 pbc="T T T"
Tb 1.959 0.974 1.412
Tb 1.959 3.487 5.306
Tb 0.000 -0.291 5.179
Tb 0.000 4.752 1.540
As 1.959 3.423 0.064
Se 1.959 -1.192 3.295
Se 0.000 2.231 3.359
N 0.000 0.000 0.000
```

Properties
The value obtained for the magnetization is 0.0 Bohr magnetons per cell. Its crystal system is monoclinic. The uncorrected formation energy comes out at -13.064 eV per formula unit.

=====

No. 4
DFT (PBE-GGA) results for TcAs2SeN after structural relaxation.

The structure in extended XYZ format:
```
5
Lattice="4.665 0.000 0.000 0.000 3.866 0.000 0.000 0.000 4.665" Properties=species:S:1:pos:R:3 pbc="T T T"
As 0.000 0.000 2.332
As 2.332 0.000 0.000
Tc 0.000 1.933 0.000
Se 2.332 1.933 2.332
N 0.000 0.000 0.000
```

Properties
The value obtained for the magnetization is 0.3 Bohr magnetons per cell. Its crystal system is tetragonal. The uncorrected formation energy comes out at 3.681 eV per formula unit.

=====

No. 5
DFT (PBE-GGA) results for TcAsSeN2 after structural relaxation.

The structure in extended XYZ format:
```
5
Lattice="3.855 0.000 0.000 0.000 3.855 0.000 0.000 0.000 5.393" Properties=species:S:1:pos:R:3 pbc="T T T"
As 1.927 1.927 2.697
Tc 0.000 0.000 0.000
Se 0.000 0.000 2.697
N 0.000 1.927 0.000
N 1.927 0.000 0.000
```

Properties
The value obtained for the magnetization is 0.4 Bohr magnetons per cell. Its crystal system is tetragonal. The uncorrected formation energy comes out at 3.664 eV per formula unit.

=====

No. 6
DFT (PBE-GGA) results for TcAs2SeN after structural relaxation.

The structure in extended XYZ format:
```
5
Lattice="-3.241 -3.276 1.305 1.181 -2.679 -3.790 3.239 -2.186 2.555" Properties=species:S:1:pos:R:3 pbc="T T T"
As 0.591 -1.339 -1.895
As -1.620 -1.638 0.653
Tc 0.000 0.000 0.000
Se 1.620 -1.093 1.277
N 0.590 -4.070 0.035
```

Properties
The value obtained for the magnetization is 0.0 Bohr magnetons per cell. Its crystal system is tetragonal. The uncorrected formation energy comes out at 7.532 eV per formula unit.

=====

No. 7
DFT (PBE-GGA) results for TcAsSeN2 after structural relaxation.

The structure in extended XYZ format:
```
5
Lattice="-2.441 -2.743 0.335 1.004 -1.296 -3.302 4.470 -3.638 2.786" Properties=species:S:1:pos:R:3 pbc="T T T"
As 0.000 0.000 0.000
Tc 1.516 -3.839 -0.090
Se 2.235 -1.819 1.393
N 0.502 -0.648 -1.651
N -1.221 -1.371 0.167
```

Properties
The value obtained for the magnetization is 4.4 Bohr magnetons per cell. Its crystal system is tetragonal. The uncorrected formation energy comes out at 7.676 eV per formula unit.

=====

No. 8
DFT (PBE-GGA) results for TcAs2SeN after structural relaxation.

The structure in extended XYZ format:
```
5
Lattice="-0.842 -3.613 -1.921 3.677 0.193 -1.974 1.880 -2.186 3.287" Properties=species:S:1:pos:R:3 pbc="T T T"
As 1.839 0.097 -0.987
As -0.421 -1.807 -0.961
Tc 2.357 -2.803 -0.304
Se 0.940 -1.093 1.643
N 0.000 0.000 0.000
```

Properties
The value obtained for the magnetization is 0.3 Bohr magnetons per cell. Its crystal system is tetragonal. The uncorrected formation energy comes out at 4.813 eV per formula unit.

=====

No. 9
DFT (PBE-GGA) results for ThAsSe2N after structural relaxation.

The structure in extended XYZ format:
```
10
Lattice="-3.232 -1.277 1.960 -1.246 -1.891 -3.285 7.078 -11.701 4.051" Properties=species:S:1:pos:R:3 pbc="T T T"
Th 2.521 -7.477 3.348
Th 2.318 -5.808 0.041
As -0.689 -2.170 1.511
As 5.529 -11.114 1.878
Se 4.337 -9.144 1.196
Se 0.105 -2.150 -1.226
Se 4.734 -11.135 4.614
Se 0.503 -4.141 2.193
N 3.539 -5.851 2.025
N 1.300 -7.434 1.363
```

Properties
The value obtained for the magnetization is 0.0 Bohr magnetons per cell. Its crystal system is tetragonal. The uncorrected formation energy comes out at -4.879 eV per formula unit.

=====

No. 10
DFT (PBE-GGA) results for TiAs2SeN after structural relaxation.

The structure in extended XYZ format:
```
5
Lattice="4.904 0.000 0.000 0.000 4.904 0.000 0.000 0.000 4.885" Properties=species:S:1:pos:R:3 pbc="T T T"
As 0.000 2.452 0.000
As 2.452 0.000 0.000
N 2.452 2.452 2.443
Se 0.000 0.000 2.443
Ti 0.000 0.000 0.000
```

Properties
The value obtained for the magnetization is 2.4 Bohr magnetons per cell. Its crystal system is tetragonal. The uncorrected formation energy comes out at 4.950 eV per formula unit.

=====

No. 11
DFT (PBE-GGA) results for TiAsSe2N after structural relaxation.

The structure in extended XYZ format:
```
5
Lattice="5.079 0.000 0.000 0.000 5.079 0.000 0.000 0.000 3.620" Properties=species:S:1:pos:R:3 pbc="T T T"
As 0.000 0.000 0.000
N 0.000 0.000 1.810
Se 0.000 2.540 0.000
Se 2.540 0.000 0.000
Ti 2.540 2.540 1.810
```

Properties
The value obtained for the magnetization is 0.0 Bohr magnetons per cell. Its crystal system is tetragonal. The uncorrected formation energy comes out at 3.222 eV per formula unit.

=====

No. 12
DFT (PBE-GGA) results for TiAsSe2N after structural relaxation.

The structure in extended XYZ format:
```
5
Lattice="5.116 0.000 0.000 0.000 5.116 0.000 0.000 0.000 3.702" Properties=species:S:1:pos:R:3 pbc="T T T"
As 2.558 2.558 1.851
N 0.000 0.000 1.851
Se 0.000 2.558 0.000
Se 2.558 0.000 0.000
Ti 0.000 0.000 0.000
```

Properties
The value obtained for the magnetization is 0.2 Bohr magnetons per cell. Its crystal system is tetragonal. The uncorrected formation energy comes out at 0.429 eV per formula unit.

=====

No. 13
DFT (PBE-GGA) results for TiAs2SeN after structural relaxation.

The structure in extended XYZ format:
```
5
Lattice="-2.887 0.423 -3.117 2.716 -1.801 -2.759 -1.646 -3.989 0.983" Properties=species:S:1:pos:R:3 pbc="T T T"
As 1.358 -0.900 -1.380
As -1.443 0.211 -1.559
N 0.000 0.000 0.000
Se -0.823 -1.994 0.492
Ti -0.908 -2.683 -2.447
```

Properties
The value obtained for the magnetization is 0.0 Bohr magnetons per cell. Its crystal system is tetragonal. The uncorrected formation energy comes out at 2.488 eV per formula unit.

=====

No. 14
DFT (PBE-GGA) results for TiAsSe2N after structural relaxation.

The structure in extended XYZ format:
```
5
Lattice="4.408 0.000 0.000 0.000 4.408 0.000 0.000 0.000 4.241" Properties=species:S:1:pos:R:3 pbc="T T T"
As 0.000 0.000 2.120
N 0.000 0.000 0.000
Se 0.000 2.204 0.000
Se 2.204 0.000 0.000
Ti 2.204 2.204 2.120
```

Properties
The value obtained for the magnetization is 0.0 Bohr magnetons per cell. Its crystal system is tetragonal. The uncorrected formation energy comes out at 2.640 eV per formula unit.

=====

Calculated total energy, -27.2; -26.8; -51.5; -27.8; -31.5; -23.9; -27.5; -26.7; -64.5; -24.1; -24.6; -27.4; -26.5; -25.2 eV per cell (same order as the records).